# 1
The following is a DFT calculation (GGA-PBE) of Cr3Te after structural relaxation.

abc: 3.1652 3.1652 7.7507
angles: 90.00 90.00 120.00
Space group P-6m2 (No. 187)
Inequivalent atoms, fractional coordinates:
Cr 0.0000 0.0000 0.0000 [1 per cell]
Cr 0.3333 0.6667 0.2186 [2 per cell]
Te 0.0000 0.0000 0.5000 [1 per cell]

raw formation energy	0.63	eV/atom
offset from the most stable computed form	271.5	meV per atom
DFT total energy	-7.375	eV per atom

=====

# 2
The following is a DFT calculation (GGA-PBE) of Cr3Te after structural relaxation.

abc: 3.3678 3.3678 5.7914
angles: 90.00 90.00 90.00
Space group P4/mmm (No. 123)
Inequivalent atoms, fractional coordinates:
Cr 0.0000 0.0000 0.0000 [1 per cell]
Cr 0.5000 0.5000 0.2344 [2 per cell]
Te 0.0000 0.0000 0.5000 [1 per cell]

raw formation energy	0.41	eV/atom
offset from the most stable computed form	57.9	meV per atom
DFT total energy	-7.588	eV per atom

=====

# 3
The following is a DFT calculation (GGA-PBE) of Cr2Te after structural relaxation.

abc: 6.7360 6.7360 4.1027
angles: 90.00 90.00 120.00
Space group P-62m (No. 189)
Inequivalent atoms, fractional coordinates:
Cr 0.0000 0.2435 0.0000 [3 per cell]
Cr 0.0000 0.5938 0.5000 [3 per cell]
Te 0.0000 0.0000 0.5000 [1 per cell]
Te 0.3333 0.6667 0.0000 [2 per cell]

raw formation energy	0.35	eV/atom
offset from the most stable computed form	262.5	meV per atom
DFT total energy	-7.113	eV per atom

=====

# 4
The following is a DFT calculation (GGA-PBE) of Cr3Te after structural relaxation.

abc: 4.0758 4.0758 3.6689
angles: 90.00 90.00 90.00
Space group P4/mmm (No. 123)
Inequivalent atoms, fractional coordinates:
Cr 0.0000 0.0000 0.0000 [1 per cell]
Cr 0.0000 0.5000 0.5000 [2 per cell]
Te 0.5000 0.5000 0.0000 [1 per cell]

raw formation energy	0.37	eV/atom
offset from the most stable computed form	16.9	meV per atom
DFT total energy	-7.629	eV per atom

=====

# 5
The following is a DFT calculation (GGA-PBE) of Cr3Te5 after structural relaxation.

abc: 8.5952 8.5952 5.9378
angles: 90.00 90.00 120.00
Space group P6_3/mcm (No. 193)
Inequivalent atoms, fractional coordinates:
Cr 0.0000 0.3804 0.2500 [6 per cell]
Te 0.0000 0.2701 0.7500 [6 per cell]
Te 0.3333 0.6667 0.0000 [4 per cell]

raw formation energy	0.19	eV/atom
offset from the most stable computed form	156.1	meV per atom
DFT total energy	-5.387	eV per atom

=====

# 6
The following is a DFT calculation (GGA-PBE) of Cr5Te after structural relaxation.

abc: 4.5260 4.5260 4.4468
angles: 90.00 90.00 120.00
Space group P-62m (No. 189)
Inequivalent atoms, fractional coordinates:
Cr 0.0000 0.6541 0.0000 [3 per cell]
Cr 0.3333 0.6667 0.5000 [2 per cell]
Te 0.0000 0.0000 0.5000 [1 per cell]

raw formation energy	0.46	eV/atom
offset from the most stable computed form	148.8	meV per atom
DFT total energy	-8.084	eV per atom

=====

# 7
The following is a DFT calculation (GGA-PBE) of Cr2Te3 after structural relaxation.

abc: 3.8804 3.8804 29.4460
angles: 90.00 90.00 120.00
Space group R-3m (No. 166, hexagonal axes)
Inequivalent atoms, fractional coordinates:
Cr 0.0000 0.0000 0.1056 [6 per cell]
Te 0.0000 0.0000 0.2781 [6 per cell]
Te 0.0000 0.0000 0.5000 [3 per cell]

raw formation energy	-0.13	eV/atom
DFT total energy	-5.865	eV per atom

=====

# 8
The following is a DFT calculation (GGA-PBE) of Cr2Te after structural relaxation.

abc: 5.2700 5.2700 7.5058
angles: 90.00 90.00 90.00
Space group I4/mcm (No. 140)
Inequivalent atoms, fractional coordinates:
Cr 0.1392 0.3608 0.0000 [8 per cell]
Te 0.0000 0.0000 0.2500 [4 per cell]

raw formation energy	0.66	eV/atom
offset from the most stable computed form	568.2	meV per atom
DFT total energy	-6.808	eV per atom

=====

# 9
The following is a DFT calculation (GGA-PBE) of Cr2Te after structural relaxation.

abc: 5.3747 4.0386 8.8353
angles: 90.00 90.00 90.00
Space group Pnma (No. 62)
Inequivalent atoms, fractional coordinates:
Cr 0.0742 0.2500 0.2499 [4 per cell]
Cr 0.1699 0.2500 0.5670 [4 per cell]
Te 0.1778 0.2500 0.8798 [4 per cell]

raw formation energy	0.49	eV/atom
offset from the most stable computed form	402.0	meV per atom
DFT total energy	-6.974	eV per atom

=====

# 10
The following is a DFT calculation (GGA-PBE) of Cr3Te after structural relaxation.

abc: 8.2701 8.2701 2.9110
angles: 90.00 90.00 120.00
Space group R-3m (No. 166, hexagonal axes)
Inequivalent atoms, fractional coordinates:
Cr 0.0000 0.5000 0.0000 [9 per cell]
Te 0.0000 0.0000 0.0000 [3 per cell]

raw formation energy	0.70	eV/atom
offset from the most stable computed form	346.2	meV per atom
DFT total energy	-7.300	eV per atom

=====

# 11
The following is a DFT calculation (GGA-PBE) of CrTe5 after structural relaxation.

abc: 5.9807 4.0603 7.3951
angles: 90.00 92.34 90.00
Space group P2/m (No. 10)
Inequivalent atoms, fractional coordinates:
Cr 0.0000 0.0000 0.0000 [1 per cell]
Te 0.0000 0.5000 0.5000 [1 per cell]
Te 0.2575 0.5000 0.8686 [2 per cell]
Te 0.2739 0.0000 0.2995 [2 per cell]

raw formation energy	-0.06	eV/atom
DFT total energy	-4.277	eV per atom

=====

# 12
The following is a DFT calculation (GGA-PBE) of Cr2Te after structural relaxation.

abc: 3.9175 3.9175 7.1916
angles: 90.00 90.00 120.00
Space group P6_3/mmc (No. 194)
Inequivalent atoms, fractional coordinates:
Cr 0.3333 0.6667 0.0461 [4 per cell]
Te 0.0000 0.0000 0.2500 [2 per cell]

raw formation energy	0.54	eV/atom
offset from the most stable computed form	452.9	meV per atom
DFT total energy	-6.923	eV per atom

=====

# 13
The following is a DFT calculation (GGA-PBE) of Cr3Te after structural relaxation.

abc: 6.0983 6.0983 6.0983
angles: 90.00 90.00 90.00
Space group Fm-3m (No. 225)
Inequivalent atoms, fractional coordinates:
Cr 0.0000 0.0000 0.0000 [4 per cell]
Cr 0.2500 0.2500 0.2500 [8 per cell]
Te 0.0000 0.0000 0.5000 [4 per cell]

raw formation energy	0.40	eV/atom
offset from the most stable computed form	42.9	meV per atom
DFT total energy	-7.603	eV per atom

=====

# 14
The following is a DFT calculation (GGA-PBE) of Cr7Te8 after structural relaxation.

abc: 12.5149 8.1658 9.3933
angles: 90.00 131.33 90.00
Space group C2/m (No. 12)
Inequivalent atoms, fractional coordinates:
Cr 0.0000 0.0000 0.0000 [2 per cell]
Cr 0.0000 0.2691 0.5000 [4 per cell]
Cr 0.2374 0.5000 0.9917 [4 per cell]
Cr 0.2500 0.2500 0.5000 [4 per cell]
Te 0.0362 0.0000 0.3328 [4 per cell]
Te 0.0474 0.5000 0.3305 [4 per cell]
Te 0.2129 0.2459 0.1677 [8 per cell]

raw formation energy	-0.13	eV/atom
DFT total energy	-6.292	eV per atom

=====

# 15
The following is a DFT calculation (GGA-PBE) of Cr4Te after structural relaxation.

abc: 6.2234 6.2234 6.2234
angles: 90.00 90.00 90.00
Space group Im-3m (No. 229)
Inequivalent atoms, fractional coordinates:
Cr 0.2500 0.2500 0.2500 [8 per cell]
Te 0.0000 0.0000 0.0000 [2 per cell]

raw formation energy	1.41	eV/atom
offset from the most stable computed form	0.0	meV per atom
DFT total energy	-6.917	eV per atom

=====

# 16
The following is a DFT calculation (GGA-PBE) of Cr2Te after structural relaxation.

abc: 6.0689 6.0689 6.0689
angles: 90.00 90.00 90.00
Space group Fm-3m (No. 225)
Inequivalent atoms, fractional coordinates:
Cr 0.2500 0.2500 0.2500 [8 per cell]
Te 0.0000 0.0000 0.0000 [4 per cell]

raw formation energy	0.61	eV/atom
offset from the most stable computed form	523.5	meV per atom
DFT total energy	-6.852	eV per atom

=====

# 17
The following is a DFT calculation (GGA-PBE) of Cr3Te after structural relaxation.

abc: 4.3806 5.0115 5.4111
angles: 90.00 90.00 90.00
Space group Pmmn (No. 59, origin choice 2)
Inequivalent atoms, fractional coordinates:
Cr 0.2500 0.0317 0.1604 [4 per cell]
Cr 0.2500 0.2500 0.7792 [2 per cell]
Te 0.2500 0.7500 0.6157 [2 per cell]

raw formation energy	0.41	eV/atom
offset from the most stable computed form	55.1	meV per atom
DFT total energy	-7.591	eV per atom

=====

# 18
The following is a DFT calculation (GGA-PBE) of Cr3Te after structural relaxation.

abc: 3.2088 4.0566 8.4313
angles: 90.00 90.00 90.00
Space group Immm (No. 71)
Inequivalent atoms, fractional coordinates:
Cr 0.0000 0.0000 0.0000 [2 per cell]
Cr 0.0000 0.5000 0.2529 [4 per cell]
Te 0.0000 0.0000 0.5000 [2 per cell]

raw formation energy	0.45	eV/atom
offset from the most stable computed form	88.5	meV per atom
DFT total energy	-7.558	eV per atom

=====

# 19
The following is a DFT calculation (GGA-PBE) of Cr2Te3 after structural relaxation.

abc: 6.8922 6.8922 12.2907
angles: 90.00 90.00 120.00
Space group P-31c (No. 163)
Inequivalent atoms, fractional coordinates:
Cr 0.0000 0.0000 0.0000 [2 per cell]
Cr 0.3333 0.6667 0.0071 [4 per cell]
Cr 0.3333 0.6667 0.7500 [2 per cell]
Te 0.0045 0.3340 0.8775 [12 per cell]

raw formation energy	-0.21	eV/atom
DFT total energy	-5.949	eV per atom

=====

# 20
The following is a DFT calculation (GGA-PBE) of Cr3Te after structural relaxation.

abc: 4.7764 4.7764 4.7764
angles: 90.00 90.00 90.00
Space group Pm-3n (No. 223)
Inequivalent atoms, fractional coordinates:
Cr 0.0000 0.2500 0.5000 [6 per cell]
Te 0.0000 0.0000 0.0000 [2 per cell]

raw formation energy	0.36	eV/atom
offset from the most stable computed form	4.0	meV per atom
DFT total energy	-7.642	eV per atom

=====

# 21
The following is a DFT calculation (GGA-PBE) of Cr3Te4 after structural relaxation.

abc: 4.0042 6.9752 7.3158
angles: 117.08 105.84 90.09
Space group P-1 (No. 2)
Inequivalent atoms, fractional coordinates:
Cr 0.0000 0.0000 0.0000 [1 per cell]
Cr 0.2593 0.2791 0.5183 [2 per cell]
Te 0.1199 0.4527 0.2406 [2 per cell]
Te 0.3669 0.0266 0.7333 [2 per cell]

raw formation energy	-0.19	eV/atom
DFT total energy	-6.112	eV per atom

=====

# 22
The following is a DFT calculation (GGA-PBE) of CrTe5 after structural relaxation.

abc: 3.0977 3.0977 19.4117
angles: 90.00 90.00 90.00
Space group P4/mmm (No. 123)
Inequivalent atoms, fractional coordinates:
Cr 0.0000 0.0000 0.0000 [1 per cell]
Te 0.0000 0.0000 0.2786 [2 per cell]
Te 0.5000 0.5000 0.0852 [2 per cell]
Te 0.5000 0.5000 0.5000 [1 per cell]

raw formation energy	0.16	eV/atom
DFT total energy	-4.062	eV per atom

=====

# 23
The following is a DFT calculation (GGA-PBE) of Cr2Te after structural relaxation.

abc: 12.0744 3.1224 6.7521
angles: 90.00 117.39 90.00
Space group C2/m (No. 12)
Inequivalent atoms, fractional coordinates:
Cr 0.0857 0.0000 0.4136 [4 per cell]
Cr 0.0899 0.5000 0.7241 [4 per cell]
Te 0.1804 0.5000 0.1824 [4 per cell]

raw formation energy	0.30	eV/atom
offset from the most stable computed form	217.3	meV per atom
DFT total energy	-7.159	eV per atom

=====

# 24
The following is a DFT calculation (GGA-PBE) of Cr5Te after structural relaxation.

abc: 3.0328 12.5395 4.1101
angles: 90.00 90.00 90.00
Space group Cmmm (No. 65)
Inequivalent atoms, fractional coordinates:
Cr 0.0000 0.0000 0.0000 [2 per cell]
Cr 0.0000 0.1762 0.5000 [4 per cell]
Cr 0.0000 0.3289 0.0000 [4 per cell]
Te 0.0000 0.5000 0.5000 [2 per cell]

raw formation energy	0.32	eV/atom
offset from the most stable computed form	9.8	meV per atom
DFT total energy	-8.224	eV per atom

=====

# 25
The following is a DFT calculation (GGA-PBE) of Cr2Te after structural relaxation.

abc: 3.4856 3.4856 7.8741
angles: 90.00 90.00 90.00
Space group I4/mmm (No. 139)
Inequivalent atoms, fractional coordinates:
Cr 0.0000 0.0000 0.1642 [4 per cell]
Te 0.0000 0.0000 0.5000 [2 per cell]

raw formation energy	0.57	eV/atom
offset from the most stable computed form	486.4	meV per atom
DFT total energy	-6.889	eV per atom

=====

# 26
The following is a DFT calculation (GGA-PBE) of Cr2Te after structural relaxation.

abc: 3.0988 19.3772 3.9230
angles: 90.00 90.00 90.00
Space group Cmcm (No. 63)
Inequivalent atoms, fractional coordinates:
Cr 0.0000 0.0463 0.2500 [4 per cell]
Cr 0.0000 0.4442 0.2500 [4 per cell]
Te 0.0000 0.3435 0.7500 [4 per cell]

raw formation energy	0.09	eV/atom
offset from the most stable computed form	0.0	meV per atom
DFT total energy	-7.376	eV per atom